This record from Alexandria via LeMat-Bulk describes a relaxed MgNiO2 crystal. The functional is GGA+U.

a b c (Å): 4.4205 4.4205 9.8875
angles (deg): 90.00 90.00 90.00
Last column: nearest neighbours and their distance in Å.
Space group I-42d (No. 122)
One atom of each set of equivalent atoms:
Mg  0.0000  0.0000  0.0000 (multiplicity 4)  4 O 2.00
Ni  0.0000  0.0000  0.5000 (multiplicity 4)  4 O 1.99
O  0.2480  0.2500  0.6250 (multiplicity 8)  2 Ni 1.99, 2 Mg 2.00

* N(E_F): 0.00 states/eV/f.u.
* energy: -82.8 eV per cell